VASP calculation (PBE) on a relaxed structure of UB4Ir12.

Output
As for the total magnetic moment: 0.00 μB/atom. The volume comes out at 241.0 Å³/cell. Its density is 17.8 g cm⁻³. The calculation puts the uncorrected energy at -8.426 eV per atom.

abc: 6.7899 6.7899 6.7899
angles: 109.47 109.47 109.47
Fractional positions:
U  0.0000  0.0000  0.0000
B  0.0000  0.0000  0.5000
B  0.0000  0.5000  0.0000
B  0.5000  0.0000  0.0000
B  0.5000  0.5000  0.5000
Ir  0.1488  0.3183  0.8305
Ir  0.1695  0.4877  0.3183
Ir  0.1695  0.8512  0.6817
Ir  0.3183  0.1695  0.4877
Ir  0.3183  0.8305  0.1488
Ir  0.4877  0.3183  0.1695
Ir  0.5123  0.6817  0.8305
Ir  0.6817  0.1695  0.8512
Ir  0.6817  0.8305  0.5123
Ir  0.8305  0.1488  0.3183
Ir  0.8305  0.5123  0.6817
Ir  0.8512  0.6817  0.1695

***

VASP calculation (PBE) on a relaxed structure of Pm4CN.

Output
For the formation energy from raw total energies, the calculation gives -0.5281 eV per atom. As for the total magnetic moment: 0.01 μB/atom. The volume comes out at 147.3 Å³/cell. The calculation puts the distance to the lowest polymorph of the same formula at 14 meV per atom. Its density is 6.8 g cm⁻³.

abc: 6.2554 3.6310 6.4876
angles: 90.00 91.07 90.00
Fractional positions:
Pm  0.1590  0.0000  0.2873
Pm  0.3331  0.5000  0.7151
Pm  0.6669  0.5000  0.2849
Pm  0.8410  0.0000  0.7127
C  0.5000  0.0000  0.5000
N  0.0000  0.5000  0.5000